Entry 1:
Here is crystalline YMgSc3 at its relaxed geometry from Alexandria. Energies are from PBE-GGA.

Cell and atoms, written as POSCAR:
```
YMgSc3
1.0
5.320 0.000 0.000
0.000 5.320 0.000
0.000 0.000 5.320
Sc Mg Y
3 1 1
Direct
0.000 0.000 0.500
0.000 0.500 0.000
0.500 0.000 0.000
0.500 0.500 0.500
0.000 0.000 0.000
```

Computed properties:
Symmetry: Pm-3m, No. 221
Energy above the most stable polymorph in this dataset in meV/atom: 853.7
N(E_F) in states/eV per atom: 1.411
V in Å³ per atom: 30.12
Energy relative to the elements in meV/atom: 918

Entry 2:
Here is crystalline Y2Mg8Sc at its relaxed geometry from Alexandria. Energies are from PBE-GGA.

Cell and atoms, written as POSCAR:
```
Y2Mg8Sc
1.0
4.777 0.000 -1.454
-0.929 6.499 -3.053
-0.114 1.056 8.200
Sc Y Mg
1 2 8
Direct
0.500 0.000 0.000
0.778 0.356 0.556
0.222 0.644 0.444
0.140 0.147 0.280
0.860 0.853 0.720
0.025 0.722 0.050
0.330 0.111 0.659
0.975 0.278 0.950
0.413 0.550 0.825
0.587 0.450 0.175
0.670 0.889 0.341
```

Computed properties:
Symmetry: C2/m, No. 12
N(E_F) in states/eV per atom: 0.592
V in Å³ per atom: 24.57
Energy relative to the elements in meV/atom: -34

Entry 3:
Here is crystalline Y3MgSc at its relaxed geometry from Alexandria. Energies are from PBE-GGA.

Cell and atoms, written as POSCAR:
```
Y3MgSc
1.0
-5.064 1.044 -2.055
0.145 -4.807 -2.799
-2.300 -2.601 4.348
Mg Y Sc
1 3 1
Direct
0.000 0.000 0.000
0.000 0.500 0.000
0.000 0.000 0.500
0.500 0.000 0.000
0.500 0.500 0.500
```

Computed properties:
Symmetry: Pm-3m, No. 221
Energy above the most stable polymorph in this dataset in meV/atom: 666.8
N(E_F) in states/eV per atom: 0.971
V in Å³ per atom: 34.45
Energy relative to the elements in meV/atom: 671

Entry 4:
Here is crystalline YMg4Sc at its relaxed geometry from Alexandria. Energies are from PBE-GGA.

Cell and atoms, written as POSCAR:
```
YMg4Sc
1.0
-3.961 -3.272 0.234
1.522 -5.811 1.016
-3.443 0.483 5.003
Mg Y Sc
4 1 1
Direct
0.747 0.919 0.586
0.253 0.081 0.414
0.749 0.585 0.918
0.251 0.415 0.082
0.500 0.500 0.500
0.000 0.000 0.000
```

Computed properties:
Symmetry: Immm, No. 71
N(E_F) in states/eV per atom: 0.962
V in Å³ per atom: 24.82
Energy relative to the elements in meV/atom: -40

Entry 5:
Here is crystalline Y3Mg2Sc2 at its relaxed geometry from Alexandria. Energies are from PBE-GGA.

Cell and atoms, written as POSCAR:
```
Y3Mg2Sc2
1.0
5.007 0.000 0.665
0.000 3.423 0.000
1.025 0.000 11.479
Y Mg Sc
3 2 2
Direct
0.846 0.000 0.308
0.154 0.000 0.692
0.000 0.000 0.000
0.572 0.500 0.855
0.428 0.500 0.145
0.715 0.500 0.570
0.285 0.500 0.430
```

Computed properties:
Symmetry: Cmmm, No. 65
N(E_F) in states/eV per atom: 1.219
V in Å³ per atom: 27.77
Energy relative to the elements in meV/atom: 3

Entry 6:
Here is crystalline Y3Mg3Sc2 at its relaxed geometry from Alexandria. Energies are from PBE-GGA.

Cell and atoms, written as POSCAR:
```
Y3Mg3Sc2
1.0
3.612 0.000 -0.582
-0.201 5.199 -1.250
-0.017 -0.014 11.396
Y Mg Sc
3 3 2
Direct
0.371 0.371 0.742
0.500 0.000 0.000
0.629 0.629 0.258
0.878 0.878 0.755
0.122 0.122 0.245
0.000 0.500 0.000
0.737 0.237 0.474
0.263 0.763 0.526
```

Computed properties:
Symmetry: Immm, No. 71
N(E_F) in states/eV per atom: 1.564
V in Å³ per atom: 26.73
Energy relative to the elements in meV/atom: -55

Entry 7:
Here is crystalline Y2MgSc at its relaxed geometry from Alexandria. Energies are from PBE-GGA.

Cell and atoms, written as POSCAR:
```
Y2MgSc
1.0
5.405 0.000 0.000
2.703 4.681 0.000
2.703 1.560 4.413
Y Mg Sc
2 1 1
Direct
0.000 0.000 0.000
0.250 0.250 0.250
0.500 0.500 0.500
0.750 0.750 0.750
```

Computed properties:
Symmetry: F-43m, No. 216
N(E_F) in states/eV per atom: 1.637
V in Å³ per atom: 27.92
Energy relative to the elements in meV/atom: 97

Entry 8:
Here is crystalline Y2MgSc at its relaxed geometry from Alexandria. Energies are from PBE-GGA.

Cell and atoms, written as POSCAR:
```
Y2MgSc
1.0
3.431 0.000 0.000
0.000 4.879 0.000
0.000 0.000 6.739
Y Mg Sc
2 1 1
Direct
0.500 0.500 0.258
0.000 0.000 0.986
0.000 0.000 0.504
0.500 0.500 0.752
```

Computed properties:
Symmetry: Pmm2, No. 25
N(E_F) in states/eV per atom: 1.669
V in Å³ per atom: 28.20
Energy relative to the elements in meV/atom: 49

Entry 9:
Here is crystalline Y4MgSc at its relaxed geometry from Alexandria. Energies are from PBE-GGA.

Cell and atoms, written as POSCAR:
```
Y4MgSc
1.0
-4.903 2.007 1.623
-0.881 -5.163 3.724
6.951 3.774 6.877
Mg Y Sc
2 8 2
Direct
0.608 0.961 0.216
0.392 0.461 0.784
0.060 0.711 0.120
0.754 0.104 0.508
0.940 0.211 0.880
0.246 0.604 0.492
0.685 0.554 0.369
0.315 0.054 0.631
0.541 0.385 0.081
0.459 0.885 0.919
0.137 0.218 0.274
0.863 0.718 0.726
```

Computed properties:
Symmetry: Cmc2_1, No. 36
Energy above the most stable polymorph in this dataset in meV/atom: 177.1
N(E_F) in states/eV per atom: 1.304
V in Å³ per atom: 30.00
Energy relative to the elements in meV/atom: 178

Entry 10:
Here is crystalline YMgSc2 at its relaxed geometry from Alexandria. Energies are from PBE-GGA.

Cell and atoms, written as POSCAR:
```
YMgSc2
1.0
-1.704 2.032 -2.170
0.959 -1.993 -2.617
-7.262 -4.926 1.091
Sc Y Mg
2 1 1
Direct
0.000 0.000 0.980
0.000 0.000 0.520
0.500 0.500 0.250
0.500 0.500 0.750
```

Computed properties:
Symmetry: P4/mmm, No. 123
N(E_F) in states/eV per atom: 1.563
V in Å³ per atom: 25.96
Energy relative to the elements in meV/atom: 10

Entry 11:
Here is crystalline YMg2Sc2 at its relaxed geometry from Alexandria. Energies are from PBE-GGA.

Cell and atoms, written as POSCAR:
```
YMg2Sc2
1.0
-2.901 1.709 -1.229
-1.816 0.439 4.898
7.806 10.875 1.918
Mg Sc Y
4 4 2
Direct
0.640 0.750 0.281
0.450 0.750 0.901
0.360 0.250 0.719
0.550 0.250 0.099
0.955 0.250 0.909
0.762 0.250 0.524
0.045 0.750 0.091
0.238 0.750 0.476
0.152 0.250 0.305
0.848 0.750 0.695
```

Computed properties:
Symmetry: P2_1/m, No. 11
Energy above the most stable polymorph in this dataset in meV/atom: 0.0
N(E_F) in states/eV per atom: 1.355
V in Å³ per atom: 25.19
Energy relative to the elements in meV/atom: -41

Entry 12:
Here is crystalline YMgSc2 at its relaxed geometry from Alexandria. Energies are from PBE-GGA.

Cell and atoms, written as POSCAR:
```
YMgSc2
1.0
4.767 0.000 0.000
0.000 4.674 0.000
0.000 0.000 4.674
Y Sc Mg
1 2 1
Direct
0.500 0.500 0.000
0.000 0.000 0.000
0.000 0.500 0.500
0.500 0.000 0.500
```

Computed properties:
Symmetry: P4/mmm, No. 123
N(E_F) in states/eV per atom: 1.928
V in Å³ per atom: 26.03
Energy relative to the elements in meV/atom: 44